## SrOs2Pb (PBE)

Data for a relaxed structure of SrOs2Pb.

Geometry as POSCAR:
```
SrOs2Pb
1.0
4.435 -2.217 0.000
4.435 2.217 0.000
-3.229 0.000 5.635
Sr Os Pb
1 2 1
direct
0.000 0.000 0.000
0.202 0.202 0.533
0.798 0.798 0.467
0.500 0.500 0.500
```

As for the calculated formation energy: 13.52 kcal/mol of atoms. Its total magnetization is 0.0 μB/f.u. As for the crystal system: monoclinic. As for the total energy: -6.376 eV per atom.